Entry from the Alexandria database: a relaxed structure of NiP2Au (GGA-PBE).

Cell: 6.208 6.208 6.208 Å, 90.00 90.00 90.00°
Space group F-43m (No. 216)
Symmetry-distinct sites (fractional):
1 Ni 0.000 0.000 0.000
2 P 0.000 0.000 0.500
3 P 0.250 0.250 0.750
4 Au 0.250 0.250 0.250

Computed properties:
The calculation puts the offset from the most stable computed form at 626 meV/atom. As for the volume: 59.8 Å³/f.u. Its formation energy is 536 meV per atom. The value obtained for the mass density is 8.82 g cm⁻³.

***

Entry from the Alexandria database: a relaxed structure of NiP2Au (GGA-PBE).

Cell: 5.405 6.529 3.339 Å, 90.00 90.00 90.00°
Space group Cmmm (No. 65)
Symmetry-distinct sites (fractional):
1 Ni 0.000 0.000 0.000
2 P 0.250 0.250 0.500
3 Au 0.000 0.500 0.000

Computed properties:
The calculation puts the offset from the most stable computed form at 434 meV/atom. As for the volume: 58.9 Å³/f.u. Its formation energy is 344 meV per atom. The value obtained for the mass density is 8.95 g cm⁻³.

***

Entry from the Alexandria database: a relaxed structure of NiP2Au (GGA-PBE).

Cell: 5.345 5.345 10.425 Å, 90.00 90.00 90.00°
Space group I-42d (No. 122)
Symmetry-distinct sites (fractional):
1 Ni 0.000 0.000 0.000
2 P 0.204 0.250 0.125
3 Au 0.000 0.000 0.500

Computed properties:
The calculation puts the offset from the most stable computed form at 147 meV/atom. As for the volume: 74.5 Å³/f.u. Its formation energy is 57 meV per atom. The value obtained for the mass density is 7.08 g cm⁻³.

***

In eV per atom, the total energy values for the records above are, in order, -4.434 -4.625 -4.912.